No. 1
Below is Li4Cd2GaAg after structural relaxation, with properties calculated at the GGA-PBE level.

Raw total energy = -2.1763 eV per atom
SG = P-4m2 (115)

The structure in extended XYZ format:
```
8
Lattice="4.5576 0.0000 0.0000 0.0000 4.5576 0.0000 0.0000 0.0000 6.4571" Properties=species:S:1:pos:R:3 pbc="T T T"
Li 0.0000 0.0000 0.0000
Li 0.0000 2.2788 1.6050
Li 2.2788 0.0000 4.8521
Li 2.2788 2.2788 3.2286
Cd 0.0000 2.2788 4.9083
Cd 2.2788 0.0000 1.5488
Ga 2.2788 2.2788 0.0000
Ag 0.0000 0.0000 3.2286
```



No. 2
Below is La4CoBi2 after structural relaxation, with properties calculated at the GGA-PBE level.

Raw total energy = -5.6659 eV per atom
SG = I4/mmm (139)

The structure in extended XYZ format:
```
14
Lattice="5.0275 0.0000 0.0000 0.0000 5.0275 0.0000 0.0000 0.0000 17.7945" Properties=species:S:1:pos:R:3 pbc="T T T"
La 0.0000 0.0000 3.0152
La 0.0000 0.0000 14.7792
La 0.0000 2.5137 0.0000
La 0.0000 2.5137 8.8972
La 2.5137 0.0000 0.0000
La 2.5137 0.0000 8.8972
La 2.5137 2.5137 5.8820
La 2.5137 2.5137 11.9124
Co 0.0000 0.0000 0.0000
Co 2.5137 2.5137 8.8972
Bi 0.0000 0.0000 6.3687
Bi 0.0000 0.0000 11.4258
Bi 2.5137 2.5137 2.5285
Bi 2.5137 2.5137 15.2659
```



No. 3
Below is PrYZn6 after structural relaxation, with properties calculated at the GGA-PBE level.

Formation enthalpy at 0 K = -277 meV/atom
SG = P4/mmm (123)

The structure in extended XYZ format:
```
8
Lattice="4.7467 0.0000 0.0000 0.0000 4.7467 0.0000 0.0000 0.0000 6.7128" Properties=species:S:1:pos:R:3 pbc="T T T"
Pr 0.0000 0.0000 0.0000
Y 2.3733 2.3733 3.3564
Zn 0.0000 0.0000 3.3564
Zn 0.0000 2.3733 1.7400
Zn 0.0000 2.3733 4.9728
Zn 2.3733 0.0000 1.7400
Zn 2.3733 0.0000 4.9728
Zn 2.3733 2.3733 0.0000
```



No. 4
Below is PrMg2 after structural relaxation, with properties calculated at the GGA-PBE level.

Raw total energy = -2.7320 eV per atom
SG = Fd-3m (227)

The structure in extended XYZ format:
```
6
Lattice="0.0000 4.3546 4.3546 4.3546 0.0000 4.3546 4.3546 4.3546 0.0000" Properties=species:S:1:pos:R:3 pbc="T T T"
Pr 1.0886 1.0886 1.0886
Pr 7.6205 7.6205 7.6205
Mg 4.3546 2.1773 2.1773
Mg 2.1773 4.3546 2.1773
Mg 2.1773 2.1773 4.3546
Mg 4.3546 4.3546 4.3546
```